Below is HfOsI2O after structural relaxation, with properties calculated at the GGA-PBE level.

a b c (Å): 5.5959 5.5959 3.6940
angles (deg): 90.00 90.00 90.00
Last column: magnetic moment on the atom in μB.
Fractional coordinates of all 5 atoms:
I1 0.5000 0.0000 0.0000  -0.02
I2 0.0000 0.5000 0.0000  -0.02
Hf1 0.5000 0.5000 0.5000  0.65
Os1 0.0000 0.0000 0.0000  0.10
O1 0.0000 0.0000 0.5000  0.07

## Properties
Space-group type: P4/mmm (123)
V (Å³/f.u.): 116
Electronic total energy (eV for the cell shown): -27.45
Energy above the most stable polymorph in this dataset (meV per atom): 189
Formation energy (no corrections) (eV/atom): 0.358